Entry 1:
Below is an optimized crystal structure of LaThAg, with properties calculated at the PBE level.

Cell lengths 5.158, 5.158, 5.158 Å; angles 60.00, 60.00, 60.00 degrees
Sites, in units of the cell vectors:
La  0.000  0.000  0.000
Th  0.500  0.500  0.500
Ag  0.250  0.250  0.250

* space-group type: F-43m, No. 216
* E_form: 72 kJ/mol of formula units

---

Entry 2:
Below is an optimized crystal structure of CdCoNiPb, with properties calculated at the PBE level.

Cell lengths 4.523, 4.523, 4.523 Å; angles 60.00, 60.00, 60.00 degrees
Sites, in units of the cell vectors:
Cd  0.000  0.000  0.000
Co  0.750  0.750  0.750
Ni  0.250  0.250  0.250
Pb  0.500  0.500  0.500

* space-group type: F-43m, No. 216
* distance to the lowest polymorph of the same formula: 0.00 eV per formula unit

---

Entry 3:
Below is an optimized crystal structure of K4Cu2BiSb, with properties calculated at the PBE level.

Cell lengths 6.350, 6.643, 6.643 Å; angles 107.13, 90.00, 90.00 degrees
Sites, in units of the cell vectors:
K  0.000  0.166  0.834
K  0.000  0.834  0.166
K  0.500  0.503  0.844
K  0.500  0.844  0.503
Cu  0.263  0.331  0.331
Cu  0.737  0.331  0.331
Bi  0.000  0.583  0.583
Sb  0.500  0.076  0.076

* electronic total energy: -2.78 eV per atom
* space-group type: Amm2, No. 38

---

Entry 4:
Below is an optimized crystal structure of GdHfSb, with properties calculated at the PBE level.

Cell lengths 4.907, 4.907, 4.907 Å; angles 60.00, 60.00, 60.00 degrees
Sites, in units of the cell vectors:
Gd  0.000  0.000  0.000
Hf  0.500  0.500  0.500
Sb  0.250  0.250  0.250

* electronic total energy: -6.39 eV per atom
* space-group type: F-43m, No. 216

---

Entry 5:
Below is an optimized crystal structure of Sm2SF4, with properties calculated at the PBE level.

Cell lengths 7.598, 7.598, 7.598 Å; angles 30.39, 30.39, 30.39 degrees
Sites, in units of the cell vectors:
Sm  0.246  0.246  0.246
Sm  0.754  0.754  0.754
S  0.000  0.000  0.000
F  0.139  0.139  0.139
F  0.427  0.427  0.427
F  0.573  0.573  0.573
F  0.861  0.861  0.861

* electronic total energy: -6.61 eV per atom
* space-group type: R-3m, No. 166

---

Entry 6:
Below is an optimized crystal structure of ZrFeSiOs, with properties calculated at the PBE level.

Cell lengths 4.433, 4.433, 4.433 Å; angles 60.00, 60.00, 60.00 degrees
Sites, in units of the cell vectors:
Zr  0.000  0.000  0.000
Fe  0.500  0.500  0.500
Si  0.250  0.250  0.250
Os  0.750  0.750  0.750

* space-group type: F-43m, No. 216
* distance to the lowest polymorph of the same formula: 1.65 eV per formula unit

---

- Number 5 is which compound?
  Sm2SF4